A plane-wave DFT calculation with PBE-GGA was carried out for a relaxed Th2Tl3PdS6 crystal.

Cell lengths 7.1443, 7.1443, 7.8573 Å; angles 97.68, 97.68, 121.95 degrees
With the nearest neighbours (Å) after each atom.
Element x y z (fractional)
Th 0.3335 0.6665 0.0000  6 S 2.76-2.81
Th 0.6665 0.3335 0.0000  6 S 2.76-2.81
Tl 0.1559 0.8441 0.5000  6 S 3.14-3.30
Tl 0.8441 0.1559 0.5000  6 S 3.14-3.30
Tl 0.5000 0.5000 0.5000  6 S 3.31-3.45
S 0.4326 0.0682 0.2184  2 Th 2.76-2.81, 1 Pd 3.08
S 0.7480 0.7480 0.1747  1 Pd 2.50
S 0.2520 0.2520 0.8253  1 Pd 2.50
S 0.0682 0.4326 0.2184  2 Th 2.76-2.81, 1 Pd 3.08
S 0.5674 0.9318 0.7816  2 Th 2.76-2.81, 1 Pd 3.08
S 0.9318 0.5674 0.7816  2 Th 2.76-2.81, 1 Pd 3.08
Pd 0.0000 0.0000 0.0000  2 S 2.50

Summary:
Space-group type: No. 12
ΔE_f (raw): -12.8 eV per formula unit
D(E_F): 3.0 states/eV per cell
Total DFT energy (no corrections): -5.389 eV per atom